{"formula": "MoPt", "functional": "PBE-GGA", "state": "relaxed", "density_g_cm3": 13.24, "delta_e_f_ev_per_fu": 0.7, "e_tot_ev_per_atom": -8.080, "sg": "P6_3/mmc", "m_tot_mub_per_fu": 0.00, "dos_ef_per_ev_cell": 4.1, "lattice_angstrom": [[-1.387, 3.001, -2.357], [2.320, -2.926, -1.594], [-4.184, -2.751, -1.041]], "species": ["Mo", "Mo", "Pt", "Pt"], "fractional_positions": [[0.000, 0.000, 0.500], [0.000, 0.000, 0.000], [0.333, 0.667, 0.250], [0.667, 0.333, 0.750]]}


{"formula": "MoPt", "functional": "PBE-GGA", "state": "relaxed", "density_g_cm3": 15.50, "delta_e_f_ev_per_fu": -0.2, "e_tot_ev_per_atom": -8.548, "sg": "R-3m", "m_tot_mub_per_fu": 0.00, "dos_ef_per_ev_cell": 3.0, "lattice_angstrom": [[-1.023, -4.406, 1.914], [-1.378, -4.640, -0.838], [1.183, -4.761, 0.251]], "species": ["Pt", "Mo"], "fractional_positions": [[0.500, 0.500, 0.500], [0.000, 0.000, 0.000]]}


Which formula does entry 2 have?
MoPt